No. 1
Below is a relaxed structure of Ni2Ag2Te, with properties calculated at the PBE-GGA level.

Values from the calculation:
Spin magnetization ... 0.000 μB/cell
Formation energy from raw total energies ... 0.356 eV per atom
Total energy ... -3.726 eV per atom
Space-group type ... I4/mmm
Polymorph energy (0 for the lowest one) ... 4.53 kcal/mol of atoms

a = 3.7651 Å, b = 3.7651 Å, c = 6.7507 Å
α = 73.81°, β = 73.81°, γ = 90.00°
With the nearest neighbours (Å) after each atom.
Positions (direct):
Ag: 0.7500 0.2500 0.5000  4 Ag 2.66, 4 Ni 2.69
Ag: 0.2500 0.7500 0.5000  4 Ag 2.66, 4 Ni 2.69
Te: 0.0000 0.0000 0.0000  8 Ni 2.91
Ni: 0.5951 0.5951 0.8099  1 Ni 2.36
Ni: 0.4049 0.4049 0.1901  1 Ni 2.36


No. 2
Below is a relaxed structure of LiCeZn4, with properties calculated at the PBE-GGA level.

Values from the calculation:
Spin magnetization ... 1.121 μB/cell
Total energy ... -2.366 eV per atom
Space-group type ... P-1
Polymorph energy (0 for the lowest one) ... 0.00 kcal/mol of atoms
Energy relative to the elements ... -0.209 eV per atom

a = 4.4215 Å, b = 4.4292 Å, c = 6.5852 Å
α = 87.32°, β = 89.59°, γ = 119.91°
With the nearest neighbours (Å) after each atom.
Positions (direct):
Zn: 0.3279 0.1511 0.7906  4 Zn 2.55-2.75, 1 Li 2.78
Zn: 0.6610 0.8163 0.7895  4 Zn 2.55-2.75, 2 Li 2.83-2.85
Zn: 0.3471 0.1825 0.2068  4 Zn 2.55-2.75, 2 Li 2.83-2.85
Zn: 0.6800 0.8477 0.2057  4 Zn 2.55-2.75, 1 Li 2.78
Ce: 0.0041 0.4994 0.4981  12 Zn 3.16-3.25, 2 Li 3.29
Li: 0.0039 0.4996 0.9982  12 Zn 2.78-3.03


No. 3
Below is a relaxed structure of TbPm3Sc2Te6, with properties calculated at the PBE-GGA level.

Values from the calculation:
Spin magnetization ... 0.000 μB/cell
Formation energy from raw total energies ... -1.283 eV per atom
Total energy ... -5.483 eV per atom
Space-group type ... C2/m

a = 4.3194 Å, b = 8.7785 Å, c = 9.7645 Å
α = 103.85°, β = 102.78°, γ = 90.00°
With the nearest neighbours (Å) after each atom.
Positions (direct):
Te: 0.0080 0.2489 0.0161  1 Sc 2.92, 2 Tb 3.05, 3 Pm 3.12-3.13
Te: 0.3323 0.9018 0.6647  2 Sc 2.98, 1 Tb 3.10, 3 Pm 3.16-3.18
Te: 0.6677 0.0982 0.3353  2 Sc 2.98, 1 Tb 3.10, 3 Pm 3.16-3.18
Te: 0.9920 0.7511 0.9839  1 Sc 2.92, 2 Tb 3.05, 3 Pm 3.12-3.13
Te: 0.6725 0.5696 0.3450  3 Sc 2.98-2.99, 3 Pm 3.18-3.19
Te: 0.3275 0.4304 0.6550  3 Sc 2.98-2.99, 3 Pm 3.18-3.19
Tb: 0.5000 0.0000 0.0000  6 Te 3.05-3.10
Pm: 0.5000 0.5000 0.0000  6 Te 3.12-3.19
Pm: 0.1613 0.8291 0.3226  6 Te 3.13-3.18
Pm: 0.8387 0.1709 0.6774  6 Te 3.13-3.18
Sc: 0.8340 0.6685 0.6681  6 Te 2.92-2.99
Sc: 0.1660 0.3315 0.3319  6 Te 2.92-2.99